Material: Mo2PtRh
Method: DFT, PBE-GGA
State: relaxed

- Distance to the lowest polymorph of the same formula: 0.040 eV per atom
- Volume: 60.6 Å³/cell
- Symmetry: I4/mmm
- Calculated formation energy: -5.781 kcal/mol of atoms

a b c (Å): 4.882 4.882 4.882
angles (deg): 133.29 133.29 68.19
Positions (direct):
Mo (0.250, 0.750, 0.500)
Mo (0.750, 0.250, 0.500)
Pt (0.000, 0.000, 0.000)
Rh (0.500, 0.500, 0.000)